w.
The following is a meta-GGA SCAN calculation of a crystal of RbAgF2 relaxed with PBEsol, from Alexandria via LeMat-Bulk.

Unit cell a=5.3606 b=5.3606 c=7.3196 alpha=111.48 beta=111.48 gamma=90.00
With the nearest neighbours (Å) after each atom.
Fractional coordinates of all 8 atoms:
F: 0.9385 0.3750 0.2500  2 Ag 2.29
F: 0.6250 0.6885 0.7500  2 Ag 2.29
F: 0.3115 0.8750 0.2500  2 Ag 2.29
F: 0.1250 0.0615 0.7500  2 Ag 2.29
Rb: 0.5000 0.5000 0.0000  4 F 2.66
Rb: 0.7500 0.2500 0.5000  4 F 2.66
Ag: 0.0000 0.0000 0.0000  4 F 2.29
Ag: 0.2500 0.7500 0.5000  4 F 2.29

Crystal system   tetragonal
ρ   4.3 g/cm3



x.
The following is a meta-GGA SCAN calculation of a crystal of RbAgF2 relaxed with PBEsol, from Alexandria via LeMat-Bulk.

Unit cell a=4.0525 b=4.0525 c=7.2807 alpha=73.84 beta=73.84 gamma=60.00
With the nearest neighbours (Å) after each atom.
Fractional coordinates of all 4 atoms:
F: 0.9026 0.9026 0.2922  1 Ag 2.01
F: 0.0974 0.0974 0.7078  1 Ag 2.01
Ag: 0.0000 0.0000 0.0000  2 F 2.01
Rb: 0.5000 0.5000 0.5000  6 F 2.74

Crystal system   trigonal
ρ   3.9 g/cm3



How do the structures above rank in stability at the extremes? x comes first and w comes last.